4
Lattice="3.339 0.000 0.000 1.670 2.892 0.000 1.670 0.964 8.400" Properties=species:S:1:pos:R:3 comment="Eu2IrO, optimized geometry, DFT PBE" e_form_raw_ev_per_atom=-0.842 space_group="R-3m, No. 166" energy_ev_per_atom=-9.4339 magnetic_moment_mub_per_cell=14.086 pbc="T T T"
Eu 1.670 0.964 5.719
Eu 5.009 2.892 2.681
Ir 0.000 0.000 0.000
O 3.339 1.928 4.200


10
Lattice="7.708 0.000 0.000 0.000 7.708 0.000 0.000 0.000 2.919" Properties=species:S:1:pos:R:3 comment="YMg2Ni2, optimized geometry, DFT PBE" space_group="P4/mbm, No. 127" energy_ev_per_atom=-4.3188 magnetic_moment_mub_per_cell=0.000 formation_energy_ev_per_atom=-0.08 pbc="T T T"
Y 0.000 0.000 0.000
Y 3.854 3.854 0.000
Ni 1.344 5.198 1.460
Ni 5.198 6.364 1.460
Ni 6.364 2.510 1.460
Ni 2.510 1.344 1.460
Mg 2.896 6.750 0.000
Mg 6.750 4.812 0.000
Mg 4.812 0.958 0.000
Mg 0.958 2.896 0.000


17
Lattice="7.772 0.000 0.000 -2.591 7.328 0.000 -2.591 -3.664 6.346" Properties=species:S:1:pos:R:3 comment="SrZn4Au12, optimized geometry, DFT PBE" space_group="Im-3, No. 204" energy_ev_per_atom=-2.7311 magnetic_moment_mub_per_cell=0.000 formation_energy_ev_per_atom=-0.02 pbc="T T T"
Sr 0.000 0.000 0.000
Zn -1.295 3.664 0.000
Zn 3.886 0.000 0.000
Zn 1.295 1.832 3.173
Zn -1.295 -1.832 3.173
Au 5.173 1.838 1.209
Au 0.987 3.106 0.987
Au 4.195 -1.256 4.150
Au 0.009 -1.698 5.358
Au -1.604 4.920 2.196
Au 1.604 0.558 5.358
Au 2.599 -0.128 2.196
Au -0.009 3.791 4.150
Au 2.582 5.362 0.987
Au 3.577 2.966 3.163
Au -0.987 0.698 3.183
Au -2.582 1.826 5.137